No. 1
## SrZn2Fe (PBE-GGA)

Data for crystalline SrZn2Fe at its relaxed geometry.

Cell lengths 4.3679, 4.4153, 4.4153 Å; angles 90.00, 90.00, 90.00 degrees
Element x y z (fractional)
1 Zn 0.0000 0.0000 0.0000
2 Fe 0.5000 0.5000 0.0000
3 Zn 0.0000 0.5000 0.5000
4 Sr 0.5000 0.0000 0.5000

Symmetry: No. 123
Formation energy from the elements in kJ/mol of formula units: 164

No. 2
## RuRhW2 (PBE-GGA)

Data for crystalline RuRhW2 at its relaxed geometry.

Cell lengths 4.8220, 4.8220, 4.8220 Å; angles 132.16, 132.16, 69.97 degrees
Element x y z (fractional)
1 W 0.0000 0.0000 0.0000
2 Ru 0.7500 0.2500 0.5000
3 W 0.2500 0.7500 0.5000
4 Rh 0.5000 0.5000 0.0000

Symmetry: No. 119
Energy above the lowest structure with this stoichiometry in meV/atom: 100
Formation energy from the elements in kJ/mol of formula units: 8

No. 3
## La7Tl2Ru2 (PBE-GGA)

Data for crystalline La7Tl2Ru2 at its relaxed geometry.

Cell lengths 7.1812, 7.3395, 7.1812 Å; angles 90.01, 108.32, 89.99 degrees
Element x y z (fractional)
1 Tl 0.1749 0.5000 0.1749
2 Ru 0.7079 0.0000 0.2921
3 Tl 0.8251 0.5000 0.8251
4 Ru 0.2921 0.0000 0.7079
5 La 0.0000 0.0000 0.0000
6 La 0.4998 0.7596 0.5002
7 La 0.4999 0.2486 0.9998
8 La 0.0001 0.2486 0.5001
9 La 0.9998 0.7514 0.4999
10 La 0.5002 0.2404 0.4998
11 La 0.5001 0.7514 0.0001

Symmetry: No. 65
Energy above the lowest structure with this stoichiometry in meV/atom: 23
Formation energy from the elements in kJ/mol of formula units: -270

No. 4
## CuRhW (PBE-GGA)

Data for crystalline CuRhW at its relaxed geometry.

Cell lengths 4.1439, 4.1439, 4.1439 Å; angles 60.00, 60.00, 60.00 degrees
Element x y z (fractional)
1 Rh 0.7500 0.7500 0.7500
2 Cu 0.5000 0.5000 0.5000
3 W 0.0000 0.0000 0.0000

Symmetry: No. 216
Energy above the lowest structure with this stoichiometry in meV/atom: 601
Formation energy from the elements in kJ/mol of formula units: 167

No. 5
## LaTa2Br (PBE-GGA)

Data for crystalline LaTa2Br at its relaxed geometry.

Cell lengths 5.8080, 4.0402, 4.0402 Å; angles 90.00, 90.00, 90.00 degrees
Element x y z (fractional)
1 La 0.5000 0.0000 0.5000
2 Ta 0.0000 0.0000 0.0000
3 Ta 0.0000 0.5000 0.5000
4 Br 0.5000 0.5000 0.0000

Symmetry: No. 123
Uncorrected formation energy in eV/atom: 0.457
Energy above the lowest structure with this stoichiometry in meV/atom: 530

No. 6
## LaAgCl2 (PBE-GGA)

Data for crystalline LaAgCl2 at its relaxed geometry.

Cell lengths 5.5069, 5.5069, 7.0806 Å; angles 65.82, 65.82, 42.98 degrees
Element x y z (fractional)
1 Ag 0.1950 0.1950 0.2949
2 La 0.5021 0.5021 0.6483
3 Cl 0.9961 0.9961 0.9304
4 Cl 0.8068 0.8068 0.6263

Symmetry: No. 8
Uncorrected formation energy in eV/atom: -1.312
Energy above the lowest structure with this stoichiometry in meV/atom: 0

No. 7
## KDyTeO4 (PBE-GGA)

Data for crystalline KDyTeO4 at its relaxed geometry.

Cell lengths 5.8810, 6.0229, 8.2104 Å; angles 90.00, 114.49, 90.00 degrees
Element x y z (fractional)
1 Dy 0.2061 0.2500 0.5387
2 O 0.9972 0.9901 0.3303
3 O 0.5752 0.2500 0.5037
4 O 0.4743 0.7500 0.1903
5 Te 0.8292 0.2500 0.7469
6 O 0.0028 0.0099 0.6697
7 O 0.0028 0.4901 0.6697
8 K 0.4259 0.7500 0.8506
9 O 0.4248 0.7500 0.4963
10 O 0.9972 0.5099 0.3303
11 Te 0.1708 0.7500 0.2531
12 Dy 0.7939 0.7500 0.4613
13 O 0.5257 0.2500 0.8097
14 K 0.5741 0.2500 0.1494

Symmetry: No. 11
Uncorrected formation energy in eV/atom: -2.065

No. 8
## Ga2SbPd6 (PBE-GGA)

Data for crystalline Ga2SbPd6 at its relaxed geometry.

Cell lengths 3.3482, 7.0914, 7.0914 Å; angles 120.00, 90.00, 90.00 degrees
Element x y z (fractional)
1 Pd 0.5000 0.0000 0.6151
2 Pd 0.0000 0.0000 0.2921
3 Pd 0.5000 0.6151 0.0000
4 Ga 0.0000 0.3333 0.6666
5 Pd 0.0000 0.2921 0.0000
6 Pd 0.0000 0.7079 0.7079
7 Ga 0.0000 0.6667 0.3334
8 Sb 0.5000 0.0000 0.0000
9 Pd 0.5000 0.3850 0.3849

Symmetry: No. 189
Uncorrected formation energy in eV/atom: -0.536

No. 9
## LiFeSi2 (PBE-GGA)

Data for crystalline LiFeSi2 at its relaxed geometry.

Cell lengths 2.6340, 3.3933, 5.1856 Å; angles 90.00, 90.00, 90.00 degrees
Element x y z (fractional)
1 Li 0.5000 0.5000 0.7500
2 Si 0.0000 0.0000 0.4854
3 Fe 0.5000 0.5000 0.2500
4 Si 0.0000 0.0000 0.0146

Symmetry: No. 47
Uncorrected formation energy in eV/atom: -0.173
Energy above the lowest structure with this stoichiometry in meV/atom: 78

No. 10
## KLi2Ag (PBE-GGA)

Data for crystalline KLi2Ag at its relaxed geometry.

Cell lengths 3.5612, 3.7351, 8.9962 Å; angles 65.42, 90.00, 90.00 degrees
Element x y z (fractional)
1 Li 0.0000 0.9177 0.0820
2 K 0.5000 0.7824 0.7180
3 Ag 0.0000 0.5881 0.4119
4 Li 0.5000 0.2117 0.2881

Symmetry: No. 6
Formation energy from the elements in kJ/mol of formula units: 7

No. 11
## BaAgMo2 (PBE-GGA)

Data for crystalline BaAgMo2 at its relaxed geometry.

Cell lengths 11.1882, 11.1882, 11.1882 Å; angles 15.19, 15.19, 15.19 degrees
Element x y z (fractional)
1 Ba 0.7500 0.7500 0.7500
2 Mo 0.9885 0.9885 0.9885
3 Ag 0.2500 0.2500 0.2500
4 Mo 0.5115 0.5115 0.5115

Symmetry: No. 166
Energy above the lowest structure with this stoichiometry in meV/atom: 738
Formation energy from the elements in kJ/mol of formula units: 488

No. 12
## DyAl3CuAg (PBE-GGA)

Data for crystalline DyAl3CuAg at its relaxed geometry.

Cell lengths 5.9814, 5.9973, 6.9478 Å; angles 115.57, 90.00, 90.00 degrees
Element x y z (fractional)
1 Al 0.0000 0.7161 0.0000
2 Al 0.5000 0.7161 0.0000
3 Cu 0.2500 0.9222 0.8444
4 Al 0.0000 0.2839 0.0000
5 Ag 0.2500 0.3435 0.6871
6 Ag 0.7500 0.6565 0.3129
7 Al 0.7500 0.8667 0.7334
8 Dy 0.7500 0.2932 0.5864
9 Dy 0.2500 0.7068 0.4136
10 Cu 0.7500 0.0778 0.1556
11 Al 0.5000 0.2839 0.0000
12 Al 0.2500 0.1333 0.2666

Symmetry: No. 63
Formation energy from the elements in kJ/mol of formula units: -95

No. 13
## UCrSi2 (PBE-GGA)

Data for crystalline UCrSi2 at its relaxed geometry.

Cell lengths 4.0261, 4.8304, 6.5693 Å; angles 90.00, 90.00, 104.59 degrees
Element x y z (fractional)
1 Si 0.5801 0.2621 0.9381
2 Si 0.4199 0.7379 0.0619
3 Si 0.4199 0.7379 0.4381
4 U 0.9558 0.8444 0.7500
5 Cr 0.8684 0.5562 0.2500
6 U 0.0442 0.1556 0.2500
7 Cr 0.1316 0.4438 0.7500
8 Si 0.5801 0.2621 0.5619

Symmetry: No. 11
Uncorrected formation energy in eV/atom: -0.289
Energy above the lowest structure with this stoichiometry in meV/atom: 0

No. 14
## Sr4Pa3GeN8 (PBE-GGA)

Data for crystalline Sr4Pa3GeN8 at its relaxed geometry.

Cell lengths 7.2425, 7.2591, 7.2428 Å; angles 119.92, 120.00, 90.00 degrees
Element x y z (fractional)
1 N 0.7518 0.3011 0.0493
2 Pa 0.0000 0.5000 0.5000
3 Sr 0.5000 0.0000 0.5000
4 N 0.2482 0.6990 0.4964
5 N 0.2482 0.6989 0.9507
6 Ge 0.0000 0.5000 0.0000
7 Sr 0.0000 0.0000 0.0000
8 N 0.7025 0.6989 0.9507
9 N 0.7345 0.7034 0.4689
10 N 0.7518 0.3010 0.5036
11 N 0.2975 0.3011 0.0493
12 Pa 0.5000 0.5000 0.5000
13 Sr 0.0000 0.0000 0.5000
14 Pa 0.5000 0.5000 0.0000
15 N 0.2655 0.2966 0.5311
16 Sr 0.5000 0.0000 0.0000

Symmetry: No. 166
Uncorrected formation energy in eV/atom: -1.096

No. 15
## KPuTe3 (PBE-GGA)

Data for crystalline KPuTe3 at its relaxed geometry.

Cell lengths 5.8963, 5.8963, 5.8963 Å; angles 90.00, 90.00, 90.00 degrees
Element x y z (fractional)
1 Te 0.0000 0.0000 0.5000
2 Te 0.0000 0.5000 0.0000
3 Te 0.5000 0.0000 0.0000
4 K 0.5000 0.5000 0.5000
5 Pu 0.0000 0.0000 0.0000

Symmetry: No. 221
Uncorrected formation energy in eV/atom: -0.748

No. 16
## GaSi2Ni2 (PBE-GGA)

Data for crystalline GaSi2Ni2 at its relaxed geometry.

Cell lengths 3.5167, 3.5167, 6.0860 Å; angles 73.21, 73.21, 90.00 degrees
Element x y z (fractional)
1 Ni 0.3847 0.3847 0.2306
2 Si 0.2500 0.7500 0.5000
3 Ni 0.6153 0.6153 0.7694
4 Si 0.7500 0.2500 0.5000
5 Ga 0.0000 0.0000 0.0000

Symmetry: No. 139
Uncorrected formation energy in eV/atom: -0.191

No. 17
## Tb6Ho3TmSc2 (PBE-GGA)

Data for crystalline Tb6Ho3TmSc2 at its relaxed geometry.

Cell lengths 6.0675, 6.0675, 11.5280 Å; angles 95.02, 95.02, 119.95 degrees
Element x y z (fractional)
1 Sc 0.6667 0.3333 0.0000
2 Tb 0.0815 0.4171 0.2445
3 Ho 0.1667 0.8333 0.5000
4 Tb 0.5829 0.9185 0.7555
5 Ho 0.8333 0.1667 0.5000
6 Tb 0.7458 0.7458 0.2443
7 Tb 0.9185 0.5829 0.7555
8 Ho 0.5000 0.5000 0.5000
9 Tb 0.4171 0.0815 0.2445
10 Tm 0.0000 0.0000 0.0000
11 Tb 0.2542 0.2542 0.7557
12 Sc 0.3333 0.6667 0.0000

Symmetry: No. 12
Formation energy from the elements in kJ/mol of formula units: 41

No. 18
## Cr2TcSb (PBE-GGA)

Data for crystalline Cr2TcSb at its relaxed geometry.

Cell lengths 4.0462, 4.0462, 9.0576 Å; angles 77.09, 77.09, 90.00 degrees
Element x y z (fractional)
1 Tc 0.2500 0.7500 0.5000
2 Tc 0.5000 0.5000 0.0000
3 Cr 0.1424 0.6250 0.2500
4 Sb 0.0000 0.0000 0.0000
5 Cr 0.8750 0.8576 0.7500
6 Cr 0.6076 0.1250 0.2500
7 Cr 0.3750 0.3924 0.7500
8 Sb 0.7500 0.2500 0.5000

Symmetry: No. 122
Uncorrected formation energy in eV/atom: 0.799

No. 19
## FePb (PBE-GGA)

Data for crystalline FePb at its relaxed geometry.

Cell lengths 3.2101, 3.2101, 8.2397 Å; angles 90.00, 90.00, 90.00 degrees
Element x y z (fractional)
1 Pb 0.2500 0.2500 0.7015
2 Pb 0.7500 0.7500 0.2985
3 Fe 0.2500 0.2500 0.0614
4 Fe 0.7500 0.7500 0.9386

Symmetry: No. 129
Formation energy from the elements in kJ/mol of formula units: 59

No. 20
## TlPtF2 (PBE-GGA)

Data for crystalline TlPtF2 at its relaxed geometry.

Cell lengths 4.4344, 4.4344, 4.4344 Å; angles 60.00, 60.00, 60.00 degrees
Element x y z (fractional)
1 Pt 0.0000 0.0000 0.0000
2 Tl 0.5000 0.5000 0.5000
3 F 0.2500 0.2500 0.2500
4 F 0.7500 0.7500 0.7500

Symmetry: No. 225
Uncorrected formation energy in eV/atom: -0.507
Energy above the lowest structure with this stoichiometry in meV/atom: 458

No. 21
## Ba3SrHg3 (PBE-GGA)

Data for crystalline Ba3SrHg3 at its relaxed geometry.

Cell lengths 7.1508, 7.2411, 7.1508 Å; angles 109.73, 109.21, 109.73 degrees
Element x y z (fractional)
1 Hg 0.5001 0.5037 0.0000
2 Hg 0.4999 0.0036 0.4999
3 Sr 0.0000 0.5030 0.0000
4 Ba 0.4997 0.0036 0.0000
5 Ba 0.5003 0.5039 0.5003
6 Ba 0.0000 0.0036 0.4997
7 Hg 0.0000 0.5037 0.5001

Symmetry: No. 160
Formation energy from the elements in kJ/mol of formula units: -283